Crystalline FeAs2Au at its relaxed geometry. Source: the Alexandria database, functional GGA-PBE.

a b c (Å): 4.409 4.409 3.452
angles (deg): 90.00 90.00 90.00
Sites, in units of the cell vectors:
Fe 0.000 0.000 0.000
As 0.000 0.500 0.500
As 0.500 0.000 0.500
Au 0.500 0.500 0.000

Computed properties:
Space group: P4/mmm
Formation energy, eV per formula unit: 1.25
Density of states at the Fermi level, states/eV/cell: 4.1
Final energy, eV/atom: -4.946